Record 1
A relaxed Au2Cl2O crystal. Source: Alexandria via LeMat-Bulk, functional PBE.

Cell: 6.145 6.145 4.954 Å, 90.00 90.00 90.00°
Atoms (fractional coordinates):
Au  0.324  0.176  0.500
Au  0.176  0.676  0.500
Au  0.676  0.824  0.500
Au  0.824  0.324  0.500
Cl  0.717  0.783  0.000
Cl  0.283  0.217  0.000
Cl  0.783  0.283  0.000
Cl  0.217  0.717  0.000
O  0.000  0.000  0.000
O  0.500  0.500  0.000

Values from the calculation:
formation energy from raw total energies = 0.573 eV/atom
volume = 187 Å³/cell
E = -2.468 eV/atom
D(E_F) = 0.27 states/eV/atom

***

Record 2
A relaxed HoNp2TaN4 crystal. Source: Alexandria via LeMat-Bulk, functional PBE.

Cell: 3.320 5.790 5.841 Å, 108.98 90.00 90.00°
Site moments in Bohr magnetons follow the coordinates.
Atoms (fractional coordinates):
Np  0.000  0.500  0.500  3.37
Np  0.500  0.000  0.500  2.84
N  0.500  0.775  0.773  -0.06
N  0.500  0.225  0.227  -0.06
N  0.000  0.767  0.239  -0.08
N  0.000  0.233  0.761  -0.08
Ta  0.000  0.000  0.000  -0.02
Ho  0.500  0.500  0.000  0.05

Values from the calculation:
formation energy from raw total energies = -1.264 eV/atom
volume = 106 Å³/cell
E = -10.716 eV/atom
D(E_F) = 1.50 states/eV/atom

***

Record 3
A relaxed Ni2OsRh crystal. Source: Alexandria via LeMat-Bulk, functional PBE.

Cell: 4.180 4.180 4.180 Å, 60.00 60.00 60.00°
Atoms (fractional coordinates):
Ni  0.250  0.250  0.250
Ni  0.000  0.000  0.000
Rh  0.750  0.750  0.750
Os  0.500  0.500  0.500

Values from the calculation:
E_form = 126 kJ/mol of formula units
volume = 52 Å³/cell
E = -7.211 eV/atom
D(E_F) = 1.52 states/eV/atom